(1)
! GGA-PBE SbBr4Cl, optimized geometry; values from VASP
! - energy above the lowest structure with this stoichiometry (meV per atom) = 0
! - total moment (μB per cell) = 0.0
! - total DFT energy (no corrections) (eV for the cell shown) = -29.70
&SYSTEM
  ibrav = 0, nat = 12, ntyp = 3
/
ATOMIC_SPECIES
Br 79.90 Br.upf
Sb 121.76 Sb.upf
Cl 35.45 Cl.upf
ATOMIC_POSITIONS crystal
Br 0.637 0.843 0.152
Br 0.015 0.309 0.152
Br 0.267 0.600 0.592
Br 0.176 0.008 0.408
Br 0.363 0.157 0.848
Br 0.824 0.992 0.592
Br 0.733 0.400 0.408
Br 0.985 0.691 0.848
Sb 0.053 0.803 0.607
Sb 0.947 0.197 0.393
Cl 0.336 0.586 0.172
Cl 0.664 0.414 0.828
CELL_PARAMETERS angstrom
-2.425 6.793 -4.554
-3.128 -6.325 -1.455
-3.986 1.639 9.400

(2)
! GGA-PBE Sb2BrCl, optimized geometry; values from VASP
! - energy above the lowest structure with this stoichiometry (meV per atom) = 504
! - total moment (μB per cell) = 0.0
! - total DFT energy (no corrections) (eV for the cell shown) = -22.58
&SYSTEM
  ibrav = 0, nat = 8, ntyp = 3
/
ATOMIC_SPECIES
Sb 121.76 Sb.upf
Cl 35.45 Cl.upf
Br 79.90 Br.upf
ATOMIC_POSITIONS crystal
Sb 0.621 0.125 0.250
Sb 0.129 0.625 0.250
Sb 0.875 0.871 0.750
Sb 0.375 0.379 0.750
Cl 0.250 0.750 0.500
Cl 0.500 0.500 0.000
Br 0.750 0.250 0.500
Br 0.000 0.000 0.000
CELL_PARAMETERS angstrom
8.361 0.000 0.000
0.000 8.361 0.000
4.180 4.180 3.244

(3)
! GGA-PBE Sb2BrCl, optimized geometry; values from VASP
! - energy above the lowest structure with this stoichiometry (meV per atom) = 486
! - total moment (μB per cell) = 0.0
! - total DFT energy (no corrections) (eV for the cell shown) = -11.36
&SYSTEM
  ibrav = 0, nat = 4, ntyp = 3
/
ATOMIC_SPECIES
Cl 35.45 Cl.upf
Br 79.90 Br.upf
Sb 121.76 Sb.upf
ATOMIC_POSITIONS crystal
Cl 0.750 0.250 0.500
Br 0.250 0.750 0.500
Sb 0.500 0.500 0.000
Sb 0.000 0.000 0.000
CELL_PARAMETERS angstrom
-2.345 -5.252 0.982
2.307 -4.138 -3.406
2.282 4.106 3.462

(4)
! GGA-PBE Sb2BrCl, optimized geometry; values from VASP
! - energy above the lowest structure with this stoichiometry (meV per atom) = 7
! - total moment (μB per cell) = 0.0
! - total DFT energy (no corrections) (eV for the cell shown) = -13.28
&SYSTEM
  ibrav = 0, nat = 4, ntyp = 3
/
ATOMIC_SPECIES
Sb 121.76 Sb.upf
Br 79.90 Br.upf
Cl 35.45 Cl.upf
ATOMIC_POSITIONS crystal
Sb 0.000 0.000 0.120
Sb 0.500 0.500 0.121
Br 0.000 0.000 0.436
Cl 0.500 0.500 0.823
CELL_PARAMETERS angstrom
-0.204 3.969 1.896
-1.899 1.632 -3.622
-7.270 -1.807 2.999

> Number 3 is which compound?

Sb2BrCl

> What is the total DFT energy (no corrections) in the fourth record?

-13.28 eV for the cell shown

Repeat the first record exactly.
! GGA-PBE SbBr4Cl, optimized geometry; values from VASP
! - energy above the lowest structure with this stoichiometry (meV per atom) = 0
! - total moment (μB per cell) = 0.0
! - total DFT energy (no corrections) (eV for the cell shown) = -29.70
&SYSTEM
  ibrav = 0, nat = 12, ntyp = 3
/
ATOMIC_SPECIES
Br 79.90 Br.upf
Sb 121.76 Sb.upf
Cl 35.45 Cl.upf
ATOMIC_POSITIONS crystal
Br 0.637 0.843 0.152
Br 0.015 0.309 0.152
Br 0.267 0.600 0.592
Br 0.176 0.008 0.408
Br 0.363 0.157 0.848
Br 0.824 0.992 0.592
Br 0.733 0.400 0.408
Br 0.985 0.691 0.848
Sb 0.053 0.803 0.607
Sb 0.947 0.197 0.393
Cl 0.336 0.586 0.172
Cl 0.664 0.414 0.828
CELL_PARAMETERS angstrom
-2.425 6.793 -4.554
-3.128 -6.325 -1.455
-3.986 1.639 9.400